(1)
Tb2EuAg, optimized geometry, DFT GGA-PBE; raw total energy = -5.564 eV per atom; density of states at the Fermi level = 1.233 states/eV/atom; energy of formation from the pure elements = 0.03 eV/atom; space group = No. 166; E above lowest polymorph = 0.108 eV per atom
1.0
3.635 0.000 0.000
1.818 3.148 0.000
1.818 1.049 10.762
Ag Tb Eu
1 2 1
Cartesian
0.000 0.000 0.000
5.453 3.148 8.470
1.818 1.049 2.292
3.635 2.099 5.381

=====

(2)
Tb2EuAg, optimized geometry, DFT GGA-PBE; raw total energy = -5.546 eV per atom; density of states at the Fermi level = 1.100 states/eV/atom; energy of formation from the pure elements = 0.05 eV/atom; space group = No. 123; E above lowest polymorph = 0.127 eV per atom
1.0
4.057 0.000 0.000
0.000 5.307 0.000
0.000 0.000 5.307
Eu Ag Tb
1 1 2
Cartesian
2.028 0.000 0.000
2.028 2.654 2.654
0.000 0.000 2.654
0.000 2.654 0.000

=====

(3)
TbEuAg, optimized geometry, DFT GGA-PBE; raw total energy = -5.911 eV per atom; density of states at the Fermi level = 0.909 states/eV/atom; energy of formation from the pure elements = 0.01 eV/atom; space group = No. 156; E above lowest polymorph = 0.159 eV per atom
1.0
-1.679 0.250 3.423
2.906 -3.883 1.709
1.656 4.846 0.459
Tb Eu Ag
1 1 1
Cartesian
-0.143 0.021 0.291
1.426 -0.815 3.460
1.599 2.007 1.840

=====

(4)
Eu2AgTe, optimized geometry, DFT GGA-PBE; formation energy without anion corrections = -0.85 eV/atom; raw total energy = -7.488 eV per atom; density of states at the Fermi level = 4.681 states/eV/atom; space group = No. 166; E above lowest polymorph = 0.012 eV per atom
1.0
-4.341 1.408 -0.381
-2.999 -2.458 -2.437
-4.246 -4.236 5.194
Eu Ag Te
2 1 1
Cartesian
-8.697 -3.981 1.807
-2.889 -1.305 0.568
0.000 0.000 0.000
-5.793 -2.643 1.188

=====

(5)
Eu2AgTe, optimized geometry, DFT GGA-PBE; formation energy without anion corrections = -0.86 eV/atom; raw total energy = -7.500 eV per atom; density of states at the Fermi level = 4.102 states/eV/atom; space group = No. 123; E above lowest polymorph = 0.000 eV per atom
1.0
-2.370 2.429 -2.051
-2.917 -0.645 2.607
2.417 5.870 4.157
Eu Te Ag
2 1 1
Cartesian
1.813 4.403 3.118
0.604 1.467 1.039
-1.435 3.827 2.356
-2.644 0.892 0.278

=====

(6)
EuThAg4, optimized geometry, DFT GGA-PBE; raw total energy = -4.912 eV per atom; density of states at the Fermi level = 0.908 states/eV/atom; energy of formation from the pure elements = -0.06 eV/atom; space group = No. 216
1.0
-4.342 -0.855 -3.753
-5.316 -1.265 1.952
-4.262 3.912 -0.447
Eu Th Ag
1 1 4
Cartesian
-3.480 0.448 -0.562
0.000 0.000 0.000
-6.569 -0.834 -1.181
-6.529 1.547 0.470
-6.043 1.751 -2.379
-8.697 1.119 -1.404

=====

(7)
Eu2ThAg, optimized geometry, DFT GGA-PBE; raw total energy = -7.714 eV per atom; density of states at the Fermi level = 1.082 states/eV/atom; energy of formation from the pure elements = -0.01 eV/atom; space group = No. 123; E above lowest polymorph = 0.000 eV per atom
1.0
-2.674 -0.540 -2.435
2.445 -1.270 -2.404
-1.260 -8.696 3.314
Th Eu Ag
1 2 1
Cartesian
-0.745 -5.253 -0.762
-0.269 -1.857 0.708
-0.991 -6.839 2.606
-0.114 -0.905 -2.419

=====

(8)
EuTh2Ag, optimized geometry, DFT GGA-PBE; raw total energy = -6.727 eV per atom; density of states at the Fermi level = 1.334 states/eV/atom; energy of formation from the pure elements = 0.26 eV/atom; space group = No. 166
1.0
3.451 0.000 0.000
1.725 2.988 0.000
1.725 0.996 12.060
Th Eu Ag
2 1 1
Cartesian
5.176 2.988 3.463
1.725 0.996 8.597
0.000 0.000 0.000
3.451 1.992 6.030

=====

(9)
EuThAg2, optimized geometry, DFT GGA-PBE; raw total energy = -5.997 eV per atom; density of states at the Fermi level = 2.054 states/eV/atom; energy of formation from the pure elements = -0.15 eV/atom; space group = No. 123
1.0
3.683 0.000 0.000
0.000 3.683 0.000
0.000 0.000 7.916
Ag Th Eu
2 1 1
Cartesian
0.000 0.000 5.999
0.000 0.000 1.917
1.842 1.842 0.000
1.842 1.842 3.958

=====

(10)
Eu2ThAg, optimized geometry, DFT GGA-PBE; raw total energy = -7.485 eV per atom; density of states at the Fermi level = 0.916 states/eV/atom; energy of formation from the pure elements = 0.22 eV/atom; space group = No. 166; E above lowest polymorph = 0.229 eV per atom
1.0
3.526 0.000 0.000
1.763 3.053 0.000
1.763 1.018 11.941
Eu Th Ag
2 1 1
Cartesian
1.763 1.018 8.444
5.289 3.053 3.497
0.000 0.000 0.000
3.526 2.036 5.971

=====

(11)
EuTlAg2, optimized geometry, DFT GGA-PBE; raw total energy = -4.712 eV per atom; density of states at the Fermi level = 3.016 states/eV/atom; energy of formation from the pure elements = -0.13 eV/atom; space group = No. 123
1.0
-1.859 -3.817 -0.928
2.763 -2.152 3.317
-3.373 0.829 3.347
Ag Eu Tl
2 1 1
Cartesian
1.382 -1.076 1.659
-1.687 0.415 1.674
-0.929 -1.909 -0.464
-1.235 -2.570 2.869

=====

(12)
EuTlZnAg, optimized geometry, DFT GGA-PBE; raw total energy = -4.384 eV per atom; density of states at the Fermi level = 2.815 states/eV/atom; energy of formation from the pure elements = -0.19 eV/atom; space group = No. 216
1.0
5.102 0.000 0.000
2.551 4.418 0.000
2.551 1.473 4.165
Zn Ag Tl Eu
1 1 1 1
Cartesian
7.653 4.418 3.124
2.551 1.473 1.041
5.102 2.945 2.083
0.000 0.000 0.000